Record 1
VASP calculation (GGA-PBE) on a geometry-optimized SiHgN2F structure.

Cell: 4.1785 4.1785 4.6131 Å, 90.00 90.00 90.00°
Last column: nearest neighbours and their distance in Å.
Fractional coordinates of all 5 atoms:
N (0.0000, 0.5000, 0.0000)  2 Hg 2.09
N (0.5000, 0.0000, 0.0000)  2 Hg 2.09
Si (0.5000, 0.5000, 0.5000)  4 F 2.95, 8 N 3.11
F (0.0000, 0.0000, 0.5000)  2 Hg 2.31
Hg (0.0000, 0.0000, 0.0000)  4 N 2.09, 2 F 2.31

E above lowest polymorph ... 1.595 eV per atom
Raw formation energy ... 765 kJ/mol of formula units
E_tot ... -16.32 eV for the cell shown



Record 2
VASP calculation (GGA-PBE) on a geometry-optimized Sr6CuPd structure.

Cell: 7.5061 7.5049 8.4191 Å, 63.49 63.53 59.98°
Last column: nearest neighbours and their distance in Å.
Fractional coordinates of all 8 atoms:
Sr (0.2484, 0.9141, 0.2469)  1 Pd 3.04, 1 Cu 3.09
Sr (0.4085, 0.7520, 0.7528)  1 Pd 3.04, 1 Cu 3.09
Sr (0.7516, 0.0859, 0.7531)  1 Pd 3.04, 1 Cu 3.09
Sr (0.5915, 0.2480, 0.2472)  1 Pd 3.04, 1 Cu 3.09
Sr (0.9141, 0.5907, 0.2476)  1 Pd 3.04, 1 Cu 3.09
Sr (0.0859, 0.4093, 0.7524)  1 Pd 3.04, 1 Cu 3.09
Pd (0.0000, 0.0000, 0.0000)  6 Sr 3.04
Cu (0.5000, 0.5000, 0.5000)  6 Sr 3.09

E_tot ... -20.89 eV for the cell shown
E_form ... -189 meV per atom



Record 3
VASP calculation (GGA-PBE) on a geometry-optimized Ce2ZrTi structure.

Cell: 3.0369 3.0369 11.5971 Å, 82.48 82.48 60.00°
Last column: nearest neighbours and their distance in Å.
Fractional coordinates of all 4 atoms:
Zr (0.5000, 0.5000, 0.5000)  6 Zr 3.04
Ti (0.0000, 0.0000, 0.0000)  2 Ce 2.74, 6 Ti 3.04
Ce (0.0798, 0.0798, 0.7606)  1 Ti 2.74, 6 Ce 3.04
Ce (0.9202, 0.9202, 0.2394)  1 Ti 2.74, 6 Ce 3.04

E above lowest polymorph ... 0.092 eV per atom
E_tot ... -27.30 eV for the cell shown
E_form ... 253 meV per atom



> E_tot of number 3 (Ce2ZrTi)?

-27.30 eV for the cell shown



What did the second record say?
VASP calculation (GGA-PBE) on a geometry-optimized Sr6CuPd structure.

Cell: 7.5061 7.5049 8.4191 Å, 63.49 63.53 59.98°
Last column: nearest neighbours and their distance in Å.
Fractional coordinates of all 8 atoms:
Sr (0.2484, 0.9141, 0.2469)  1 Pd 3.04, 1 Cu 3.09
Sr (0.4085, 0.7520, 0.7528)  1 Pd 3.04, 1 Cu 3.09
Sr (0.7516, 0.0859, 0.7531)  1 Pd 3.04, 1 Cu 3.09
Sr (0.5915, 0.2480, 0.2472)  1 Pd 3.04, 1 Cu 3.09
Sr (0.9141, 0.5907, 0.2476)  1 Pd 3.04, 1 Cu 3.09
Sr (0.0859, 0.4093, 0.7524)  1 Pd 3.04, 1 Cu 3.09
Pd (0.0000, 0.0000, 0.0000)  6 Sr 3.04
Cu (0.5000, 0.5000, 0.5000)  6 Sr 3.09

E_tot ... -20.89 eV for the cell shown
E_form ... -189 meV per atom



> Among the records above, which one has the lowest E_tot?

Ce2ZrTi